Entry P
# Sc5Cl PBE-GGA optimized geometry
data_Sc5Cl
_chemical_formula_sum 'Sc5 Cl1'
_space_group_name_H-M_alt 'P 6/m m m'
_space_group_IT_number 191
_space_group_name_Hall '-P 6 2'
_cell_length_a 5.9311
_cell_length_b 5.9311
_cell_length_c 5.6490
_cell_angle_alpha 90.00
_cell_angle_beta 90.00
_cell_angle_gamma 120.00
loop_
_atom_site_label
_atom_site_fract_x
_atom_site_fract_y
_atom_site_fract_z
_atom_site_occupancy
Sc1 0.0000 0.5000 0.0000 1
Sc2 0.3333 0.6667 0.5000 1
Cl1 0.0000 0.0000 0.5000 1
# Total moment: 3.0 μB per cell
# D(E_F): 2.03 states/eV per atom


Entry Q
# Sc5Cl PBE-GGA optimized geometry
data_Sc5Cl
_chemical_formula_sum 'Sc10 Cl2'
_space_group_name_H-M_alt 'C 1 m 1'
_space_group_IT_number 8
_space_group_name_Hall 'C -2y'
_cell_length_a 10.5862
_cell_length_b 3.2978
_cell_length_c 8.2038
_cell_angle_alpha 90.00
_cell_angle_beta 105.79
_cell_angle_gamma 90.00
loop_
_atom_site_label
_atom_site_fract_x
_atom_site_fract_y
_atom_site_fract_z
_atom_site_occupancy
Sc1 0.0000 0.0000 0.0000 1
Sc2 0.0676 0.0000 0.4198 1
Sc3 0.1670 0.5000 0.7565 1
Sc4 0.2597 0.5000 0.2522 1
Sc5 0.3752 0.0000 0.6155 1
Cl1 0.2700 0.0000 0.0060 1
# Total moment: 0.0 μB per cell
# D(E_F): 1.30 states/eV per atom


Stability check: which of them is least stable? entry P.


Entry P
# ScSeCl3 PBE-GGA optimized geometry
data_ScSeCl3
_chemical_formula_sum 'Sc1 Se1 Cl3'
_space_group_name_H-M_alt 'P m -3 m'
_space_group_IT_number 221
_space_group_name_Hall '-P 4 2 3'
_cell_length_a 5.2059
_cell_length_b 5.2059
_cell_length_c 5.2059
_cell_angle_alpha 90.00
_cell_angle_beta 90.00
_cell_angle_gamma 90.00
loop_
_atom_site_label
_atom_site_fract_x
_atom_site_fract_y
_atom_site_fract_z
_atom_site_occupancy
Sc1 0.0000 0.0000 0.0000 1
Se1 0.5000 0.5000 0.5000 1
Cl1 0.0000 0.5000 0.5000 1
# Total moment: 1.6 μB per cell
# D(E_F): 1.54 states/eV per atom


Entry Q
# ScSeCl3 PBE-GGA optimized geometry
data_ScSeCl3
_chemical_formula_sum 'Sc1 Se1 Cl3'
_space_group_name_H-M_alt 'P m -3 m'
_space_group_IT_number 221
_space_group_name_Hall '-P 4 2 3'
_cell_length_a 5.0160
_cell_length_b 5.0160
_cell_length_c 5.0160
_cell_angle_alpha 90.00
_cell_angle_beta 90.00
_cell_angle_gamma 90.00
loop_
_atom_site_label
_atom_site_fract_x
_atom_site_fract_y
_atom_site_fract_z
_atom_site_occupancy
Sc1 0.0000 0.0000 0.0000 1
Se1 0.5000 0.5000 0.5000 1
Cl1 0.0000 0.0000 0.5000 1
# Total moment: 2.0 μB per cell
# D(E_F): 0.58 states/eV per atom


Stability check: which of them is least stable? entry P.